[1]
Here is a relaxed LaIBr2 crystal from the Alexandria database. Energies are from PBE.

For the final energy, the calculation gives -2.96 eV/atom. For the formation energy without anion corrections, the calculation gives -504 meV per atom. As for the volume: 612 Å³ per cell.

The space group is R-3m (No. 166, hexagonal axes) and the conventional cell measures 4.2185, 4.2185 and 39.7004 Å, with angles of 90.00, 90.00 and 120.00 degrees. The distinct sites, in fractional coordinates, are La at (0.0000, 0.0000, 0.0000), I at (0.0000, 0.0000, 0.5000) and Br at (0.0000, 0.0000, 0.0681).

***

[2]
Here is a relaxed AcPrEuEr crystal from the Alexandria database. Energies are from PBE.

The value obtained for the formation enthalpy at 0 K is 0.116 eV/atom. For the final energy, the calculation gives -5.82 eV/atom. As for the volume: 607 Å³ per cell.

The space group is F-43m (No. 216) and the conventional cell measures 8.466, 8.466 and 8.466 Å, with angles of 90.00, 90.00 and 90.00 degrees. The distinct sites, in fractional coordinates, are Ac at (0.000, 0.000, 0.000), Pr at (0.000, 0.000, 0.500), Eu at (0.250, 0.250, 0.250) and Er at (0.250, 0.250, 0.750).

***

[3]
Here is a relaxed U2VTc crystal from the Alexandria database. Energies are from PBE.

The value obtained for the formation enthalpy at 0 K is 0.323 eV/atom. For the final energy, the calculation gives -10.19 eV/atom. As for the volume: 75 Å³ per cell.

The space group is P4/mmm (No. 123) and the conventional cell measures 4.712, 4.712 and 3.373 Å, with angles of 90.00, 90.00 and 90.00 degrees. The distinct sites, in fractional coordinates, are U at (0.000, 0.500, 0.000), V at (0.000, 0.000, 0.500) and Tc at (0.500, 0.500, 0.500).

***

[4]
Here is a relaxed Sr2HgSbH crystal from the Alexandria database. Energies are from PBE.

For the final energy, the calculation gives -2.83 eV/atom. As for the volume: 131 Å³ per cell.

The space group is P4/mmm (No. 123) and the conventional cell measures 5.307, 5.307 and 4.639 Å, with angles of 90.00, 90.00 and 90.00 degrees. The distinct sites, in fractional coordinates, are Sr at (0.000, 0.500, 0.000), Hg at (0.000, 0.000, 0.500), Sb at (0.500, 0.500, 0.500) and H at (0.000, 0.000, 0.000).

***

[5]
Here is a relaxed Sn2GeAu crystal from the Alexandria database. Energies are from PBE.

The value obtained for the formation enthalpy at 0 K is 0.065 eV/atom. For the final energy, the calculation gives -3.91 eV/atom. As for the volume: 91 Å³ per cell.

The space group is P4/mmm (No. 123) and the conventional cell measures 3.386, 3.386 and 7.978 Å, with angles of 90.00, 90.00 and 90.00 degrees. The distinct sites, in fractional coordinates, are Sn at (0.000, 0.000, 0.238), Ge at (0.500, 0.500, 0.500) and Au at (0.500, 0.500, 0.000).

***

[6]
Here is a relaxed Be17CrCo crystal from the Alexandria database. Energies are from PBE.

The value obtained for the formation enthalpy at 0 K is -0.076 eV/atom. For the final energy, the calculation gives -4.29 eV/atom. As for the volume: 468 Å³ per cell.

The space group is R3m (No. 160, hexagonal axes) and the conventional cell measures 7.1509, 7.1509 and 10.5613 Å, with angles of 90.00, 90.00 and 120.00 degrees. The distinct sites, in fractional coordinates, are Be at (0.0000, 0.0000, 0.0517), Be at (0.0000, 0.0000, 0.2553), Be at (0.0004, 0.5002, 0.0000), Be at (0.0033, 0.3090, 0.1519), Be at (0.0077, 0.5039, 0.6492), Be at (0.0125, 0.5062, 0.3077), Cr at (0.0000, 0.0000, 0.8156) and Co at (0.0000, 0.0000, 0.4835).

***

Q: Which of these has the lowest final energy?
A: U2VTc